1.
# Cr2AsPbO8 PBE with a Hubbard U relaxed
# Space group: No. 65
# Crystal system: orthorhombic
# Energy (hartree per atom): -0.241
data_Cr2AsPbO8
_chemical_formula_sum 'Cr2 As1 Pb1 O8'
_symmetry_space_group_name_H-M 'P 1'
_symmetry_Int_Tables_number 1
_cell_length_a 4.619
_cell_length_b 4.616
_cell_length_c 6.262
_cell_angle_alpha 90.00
_cell_angle_beta 90.00
_cell_angle_gamma 90.26
loop_
_symmetry_equiv_pos_as_xyz
'x,y,z'
loop_
_atom_site_label
_atom_site_fract_x
_atom_site_fract_y
_atom_site_fract_z
O1 0.676 0.677 0.500
O2 0.297 0.296 0.000
O3 0.807 0.194 0.784
Pb1 0.000 0.000 0.500
O4 0.324 0.323 0.500
O5 0.193 0.806 0.216
Cr1 0.500 0.500 0.239
O6 0.703 0.704 0.000
O7 0.807 0.194 0.216
Cr2 0.500 0.500 0.761
O8 0.193 0.806 0.784
As1 0.000 0.000 0.000


2.
# CrAsPbO5 PBE with a Hubbard U relaxed
# Space group: No. 15
# Crystal system: monoclinic
# Energy (hartree per atom): -0.240
data_CrAsPbO5
_chemical_formula_sum 'Cr2 As2 Pb2 O10'
_symmetry_space_group_name_H-M 'P 1'
_symmetry_Int_Tables_number 1
_cell_length_a 5.827
_cell_length_b 5.827
_cell_length_c 7.342
_cell_angle_alpha 104.64
_cell_angle_beta 104.64
_cell_angle_gamma 105.77
loop_
_symmetry_equiv_pos_as_xyz
'x,y,z'
loop_
_atom_site_label
_atom_site_fract_x
_atom_site_fract_y
_atom_site_fract_z
O1 0.929 0.071 0.750
As1 0.314 0.686 0.750
Cr1 0.000 0.000 0.500
O2 0.612 0.773 0.921
O3 0.305 0.893 0.614
O4 0.227 0.388 0.579
Pb1 0.313 0.687 0.250
Cr2 0.000 0.000 0.000
O5 0.388 0.227 0.079
O6 0.107 0.695 0.886
O7 0.773 0.612 0.421
Pb2 0.687 0.313 0.750
O8 0.893 0.305 0.114
O9 0.695 0.107 0.386
As2 0.686 0.314 0.250
O10 0.071 0.929 0.250